1.
Entry from Alexandria via LeMat-Bulk: a relaxed structure of Ce2Dy3Tm6Th (GGA-PBE).

a b c (Å): 6.074 6.074 11.574
angles (deg): 95.02 95.02 119.99
Sites, in units of the cell vectors:
Ce1 0.333 0.667 0.000
Ce2 0.667 0.333 0.000
Dy1 0.167 0.833 0.500
Dy2 0.833 0.167 0.500
Dy3 0.500 0.500 0.500
Tm1 0.917 0.585 0.753
Tm2 0.751 0.751 0.247
Tm3 0.083 0.415 0.247
Tm4 0.585 0.917 0.753
Tm5 0.249 0.249 0.753
Tm6 0.415 0.083 0.247
Th1 0.000 0.000 0.000

Output
- VASP energy (eV for the cell shown) = -59.436
- crystal system = monoclinic

***

2.
Entry from Alexandria via LeMat-Bulk: a relaxed structure of CeDy5Tm2Th (GGA-PBE).

a b c (Å): 5.674 10.955 9.693
angles (deg): 90.00 90.00 105.01
Sites, in units of the cell vectors:
Ce1 0.809 0.618 0.523
Ce2 0.191 0.382 0.023
Dy1 0.396 0.791 0.040
Dy2 0.729 0.458 0.825
Dy3 0.469 0.938 0.740
Dy4 0.303 0.605 0.708
Dy5 0.986 0.972 0.518
Dy6 0.604 0.209 0.540
Dy7 0.271 0.542 0.325
Dy8 0.531 0.062 0.240
Dy9 0.697 0.395 0.208
Dy10 0.014 0.028 0.018
Tm1 0.885 0.769 0.829
Tm2 0.128 0.256 0.717
Tm3 0.115 0.231 0.329
Tm4 0.872 0.744 0.217
Th1 0.593 0.186 0.922
Th2 0.407 0.814 0.422

Output
- VASP energy (eV for the cell shown) = -87.260
- crystal system = orthorhombic

***

3.
Entry from Alexandria via LeMat-Bulk: a relaxed structure of CeDyTmTh (GGA-PBE).

a b c (Å): 3.535 3.534 11.510
angles (deg): 89.99 98.85 120.01
Sites, in units of the cell vectors:
Ce1 0.303 0.550 0.869
Dy1 0.969 0.382 0.367
Tm1 0.471 0.134 0.619
Th1 0.134 0.964 0.114

Output
- VASP energy (eV for the cell shown) = -22.329
- crystal system = trigonal

***

4.
Entry from Alexandria via LeMat-Bulk: a relaxed structure of CeDyTmTh (GGA-PBE).

a b c (Å): 5.625 5.625 5.625
angles (deg): 60.00 60.00 60.00
Sites, in units of the cell vectors:
Tm1 0.750 0.750 0.750
Ce1 0.250 0.250 0.250
Th1 0.500 0.500 0.500
Dy1 0.000 0.000 0.000

Output
- VASP energy (eV for the cell shown) = -21.541
- crystal system = cubic

***

5.
Entry from Alexandria via LeMat-Bulk: a relaxed structure of Ce2Dy3Y6Th (GGA-PBE).

a b c (Å): 6.153 6.153 11.756
angles (deg): 95.01 95.01 119.99
Sites, in units of the cell vectors:
Ce1 0.333 0.667 0.000
Ce2 0.667 0.333 0.000
Dy1 0.167 0.833 0.500
Dy2 0.833 0.167 0.500
Dy3 0.500 0.500 0.500
Y1 0.917 0.585 0.753
Y2 0.751 0.751 0.247
Y3 0.083 0.415 0.247
Y4 0.585 0.917 0.753
Y5 0.249 0.249 0.753
Y6 0.415 0.083 0.247
Th1 0.000 0.000 0.000

Output
- VASP energy (eV for the cell shown) = -71.308
- crystal system = monoclinic

***

6.
Entry from Alexandria via LeMat-Bulk: a relaxed structure of CeDy3Y6Th2 (GGA-PBE).

a b c (Å): 6.174 6.174 11.758
angles (deg): 95.03 95.03 119.99
Sites, in units of the cell vectors:
Ce1 0.000 0.000 0.000
Dy1 0.167 0.833 0.500
Dy2 0.833 0.167 0.500
Dy3 0.500 0.500 0.500
Y1 0.917 0.583 0.753
Y2 0.748 0.748 0.247
Y3 0.083 0.417 0.247
Y4 0.583 0.917 0.753
Y5 0.252 0.252 0.753
Y6 0.417 0.083 0.247
Th1 0.333 0.667 0.000
Th2 0.667 0.333 0.000

Output
- VASP energy (eV for the cell shown) = -72.928
- crystal system = monoclinic

***

7.
Entry from Alexandria via LeMat-Bulk: a relaxed structure of CeDyYTh (GGA-PBE).

a b c (Å): 5.659 5.659 5.659
angles (deg): 60.00 60.00 60.00
Sites, in units of the cell vectors:
Y1 0.250 0.250 0.250
Ce1 0.000 0.000 0.000
Th1 0.500 0.500 0.500
Dy1 0.750 0.750 0.750

Output
- VASP energy (eV for the cell shown) = -23.643
- crystal system = cubic

***

8.
Entry from Alexandria via LeMat-Bulk: a relaxed structure of CeDyYTh (GGA-PBE).

a b c (Å): 3.552 3.553 11.578
angles (deg): 90.00 98.83 120.00
Sites, in units of the cell vectors:
Ce1 0.304 0.550 0.871
Dy1 0.472 0.134 0.621
Y1 0.968 0.382 0.365
Th1 0.134 0.965 0.113

Output
- VASP energy (eV for the cell shown) = -24.311
- crystal system = trigonal

***

9.
Entry from Alexandria via LeMat-Bulk: a relaxed structure of CeDyThZn (GGA-PBE).

a b c (Å): 5.255 5.255 5.255
angles (deg): 60.00 60.00 60.00
Sites, in units of the cell vectors:
Zn1 0.500 0.500 0.500
Ce1 0.000 0.000 0.000
Th1 0.250 0.250 0.250
Dy1 0.750 0.750 0.750

Output
- VASP energy (eV for the cell shown) = -18.783
- crystal system = cubic

***

10.
Entry from Alexandria via LeMat-Bulk: a relaxed structure of Ce2DyTi (GGA-PBE).

a b c (Å): 3.248 3.248 9.789
angles (deg): 90.00 90.00 90.00
Sites, in units of the cell vectors:
Ti1 0.500 0.500 0.000
Ce1 0.000 0.000 0.775
Ce2 0.000 0.000 0.225
Dy1 0.500 0.500 0.500

Output
- VASP energy (eV for the cell shown) = -23.631
- crystal system = tetragonal

***

11.
Entry from Alexandria via LeMat-Bulk: a relaxed structure of Ce2DyTi (GGA-PBE).

a b c (Å): 4.937 4.561 4.561
angles (deg): 90.00 90.00 90.00
Sites, in units of the cell vectors:
Ti1 0.500 0.500 0.500
Ce1 0.000 0.000 0.500
Ce2 0.000 0.500 0.000
Dy1 0.500 0.000 0.000

Output
- VASP energy (eV for the cell shown) = -23.488
- crystal system = tetragonal

***

12.
Entry from Alexandria via LeMat-Bulk: a relaxed structure of CeDyTi (GGA-PBE).

a b c (Å): 3.489 3.489 12.527
angles (deg): 90.00 90.00 90.00
Sites, in units of the cell vectors:
Dy1 0.000 0.500 0.605
Dy2 0.500 0.000 0.395
Ce1 0.500 0.000 0.795
Ce2 0.000 0.500 0.205
Ti1 0.000 0.500 0.946
Ti2 0.500 0.000 0.054

Output
- VASP energy (eV for the cell shown) = -35.975
- crystal system = tetragonal

***

13.
Entry from Alexandria via LeMat-Bulk: a relaxed structure of CeDyTl2 (GGA-PBE).

a b c (Å): 3.554 3.554 8.864
angles (deg): 90.00 90.00 90.00
Sites, in units of the cell vectors:
Tl1 0.000 0.000 0.757
Tl2 0.000 0.000 0.243
Ce1 0.500 0.500 0.500
Dy1 0.500 0.500 0.000

Output
- VASP energy (eV for the cell shown) = -16.431
- crystal system = tetragonal

***

14.
Entry from Alexandria via LeMat-Bulk: a relaxed structure of Ce2Dy2Tl7 (GGA-PBE).

a b c (Å): 6.940 7.913 6.940
angles (deg): 90.00 104.20 90.00
Sites, in units of the cell vectors:
Ce1 0.697 0.000 0.303
Ce2 0.303 0.000 0.697
Dy1 0.807 0.500 0.807
Dy2 0.193 0.500 0.193
Tl1 0.000 0.300 0.500
Tl2 0.500 0.700 0.000
Tl3 0.000 0.700 0.500
Tl4 0.500 0.300 0.000
Tl5 0.000 0.000 0.000
Tl6 0.500 0.704 0.500
Tl7 0.500 0.296 0.500

Output
- VASP energy (eV for the cell shown) = -36.271
- crystal system = orthorhombic

***

15.
Entry from Alexandria via LeMat-Bulk: a relaxed structure of CeDy5Tl6 (GGA-PBE).

a b c (Å): 5.393 9.363 9.363
angles (deg): 120.22 106.78 106.78
Sites, in units of the cell vectors:
Tl1 0.255 0.085 0.424
Tl2 0.745 0.576 0.915
Tl3 0.760 0.260 0.260
Tl4 0.240 0.740 0.740
Tl5 0.255 0.424 0.085
Tl6 0.745 0.915 0.576
Ce1 0.000 0.000 0.000
Dy1 0.500 0.163 0.837
Dy2 0.000 0.332 0.668
Dy3 0.500 0.500 0.500
Dy4 0.000 0.668 0.332
Dy5 0.500 0.837 0.163

Output
- VASP energy (eV for the cell shown) = -46.945
- crystal system = monoclinic

***

16.
Entry from Alexandria via LeMat-Bulk: a relaxed structure of CeDy4Tl7 (GGA-PBE).

a b c (Å): 5.777 9.989 7.272
angles (deg): 81.97 66.60 73.19
Sites, in units of the cell vectors:
Ce1 0.000 0.000 0.000
Dy1 0.586 0.218 0.611
Dy2 0.414 0.782 0.389
Dy3 0.721 0.672 0.887
Dy4 0.279 0.328 0.113
Tl1 0.787 0.896 0.530
Tl2 0.213 0.104 0.470
Tl3 0.080 0.671 0.168
Tl4 0.920 0.329 0.832
Tl5 0.365 0.544 0.725
Tl6 0.500 0.000 0.000
Tl7 0.635 0.456 0.275

Output
- VASP energy (eV for the cell shown) = -41.839
- crystal system = monoclinic

***

17.
Entry from Alexandria via LeMat-Bulk: a relaxed structure of CeDy5Tl4 (GGA-PBE).

a b c (Å): 3.570 3.570 21.865
angles (deg): 90.00 90.00 90.00
Sites, in units of the cell vectors:
Ce1 0.000 0.000 0.000
Dy1 0.500 0.500 0.110
Dy2 0.500 0.500 0.305
Dy3 0.500 0.500 0.500
Dy4 0.500 0.500 0.695
Dy5 0.500 0.500 0.890
Tl1 0.000 0.000 0.206
Tl2 0.000 0.000 0.402
Tl3 0.000 0.000 0.598
Tl4 0.000 0.000 0.794

Output
- VASP energy (eV for the cell shown) = -41.050
- crystal system = tetragonal

***

18.
Entry from Alexandria via LeMat-Bulk: a relaxed structure of CeDy6Tl3 (GGA-PBE).

a b c (Å): 5.190 10.026 11.301
angles (deg): 100.80 90.00 90.00
Sites, in units of the cell vectors:
Ce1 0.250 0.956 0.592
Ce2 0.750 0.044 0.408
Dy1 0.250 0.448 0.096
Dy2 0.750 0.552 0.904
Dy3 0.250 0.135 0.223
Dy4 0.750 0.865 0.777
Dy5 0.250 0.646 0.688
Dy6 0.750 0.354 0.312
Dy7 0.250 0.269 0.517
Dy8 0.750 0.731 0.483
Dy9 0.250 0.820 0.285
Dy10 0.750 0.180 0.715
Dy11 0.250 0.072 0.904
Dy12 0.750 0.928 0.096
Tl1 0.250 0.539 0.391
Tl2 0.750 0.461 0.609
Tl3 0.250 0.360 0.808
Tl4 0.750 0.640 0.192
Tl5 0.250 0.764 0.971
Tl6 0.750 0.236 0.029

Output
- VASP energy (eV for the cell shown) = -84.941
- crystal system = monoclinic

***

19.
Entry from Alexandria via LeMat-Bulk: a relaxed structure of CeDy5Tl4 (GGA-PBE).

a b c (Å): 8.367 8.464 9.225
angles (deg): 90.00 90.00 90.00
Sites, in units of the cell vectors:
Ce1 0.665 0.000 0.000
Ce2 0.335 0.500 0.500
Dy1 0.265 0.725 0.803
Dy2 0.265 0.275 0.803
Dy3 0.916 0.500 0.000
Dy4 0.265 0.725 0.197
Dy5 0.265 0.275 0.197
Dy6 0.735 0.775 0.303
Dy7 0.735 0.225 0.303
Dy8 0.084 0.000 0.500
Dy9 0.735 0.225 0.697
Dy10 0.735 0.775 0.697
Tl1 0.014 0.000 0.836
Tl2 0.564 0.667 0.000
Tl3 0.564 0.333 0.000
Tl4 0.014 0.000 0.164
Tl5 0.986 0.500 0.336
Tl6 0.436 0.833 0.500
Tl7 0.436 0.167 0.500
Tl8 0.986 0.500 0.664

Output
- VASP energy (eV for the cell shown) = -76.123
- crystal system = orthorhombic

***

20.
Entry from Alexandria via LeMat-Bulk: a relaxed structure of CeDy3Tl5 (GGA-PBE).

a b c (Å): 6.467 9.464 9.464
angles (deg): 120.00 90.00 90.00
Sites, in units of the cell vectors:
Ce1 0.000 0.000 0.000
Ce2 0.500 0.000 0.000
Dy1 0.750 0.365 0.365
Dy2 0.750 0.000 0.635
Dy3 0.750 0.635 0.000
Dy4 0.250 0.635 0.635
Dy5 0.250 0.000 0.365
Dy6 0.250 0.365 0.000
Tl1 0.000 0.667 0.333
Tl2 0.500 0.333 0.667
Tl3 0.000 0.333 0.667
Tl4 0.500 0.667 0.333
Tl5 0.750 0.695 0.695
Tl6 0.750 0.000 0.305
Tl7 0.750 0.305 0.000
Tl8 0.250 0.305 0.305
Tl9 0.250 0.000 0.695
Tl10 0.250 0.695 0.000

Output
- VASP energy (eV for the cell shown) = -67.978
- crystal system = hexagonal

***

21.
Entry from Alexandria via LeMat-Bulk: a relaxed structure of Ce9Dy4Tl11 (GGA-PBE).

a b c (Å): 3.401 14.291 14.291
angles (deg): 99.39 90.00 90.00
Sites, in units of the cell vectors:
Ce1 0.500 0.630 0.141
Ce2 0.500 0.370 0.859
Ce3 0.500 0.141 0.630
Ce4 0.500 0.859 0.370
Ce5 0.500 0.790 0.959
Ce6 0.500 0.210 0.041
Ce7 0.500 0.959 0.790
Ce8 0.500 0.041 0.210
Ce9 0.500 0.500 0.500
Dy1 0.500 0.557 0.730
Dy2 0.500 0.443 0.270
Dy3 0.500 0.730 0.557
Dy4 0.500 0.270 0.443
Tl1 0.000 0.579 0.929
Tl2 0.000 0.421 0.071
Tl3 0.000 0.929 0.579
Tl4 0.000 0.071 0.421
Tl5 0.000 0.639 0.361
Tl6 0.000 0.361 0.639
Tl7 0.000 0.836 0.164
Tl8 0.000 0.164 0.836
Tl9 0.000 0.000 0.000
Tl10 0.000 0.755 0.755
Tl11 0.000 0.245 0.245

Output
- VASP energy (eV for the cell shown) = -102.637
- crystal system = orthorhombic

***

22.
Entry from Alexandria via LeMat-Bulk: a relaxed structure of Ce2DyTl (GGA-PBE).

a b c (Å): 5.215 4.617 4.617
angles (deg): 90.00 90.00 90.00
Sites, in units of the cell vectors:
Tl1 0.500 0.000 0.000
Ce1 0.000 0.000 0.500
Ce2 0.000 0.500 0.000
Dy1 0.500 0.500 0.500

Output
- VASP energy (eV for the cell shown) = -19.394
- crystal system = tetragonal